No. 1
A plane-wave DFT calculation with PBE-GGA was carried out for an optimized crystal structure of PmPPt3.

```
5
Lattice="-3.575 -1.667 0.946 1.846 -3.529 0.771 -0.177 -1.090 6.100" Properties=species:S:1:pos:R:3 pbc="T T T"
P 1.328 -3.669 4.695
Pt -1.785 -3.624 1.704
Pt -0.615 -4.850 3.965
Pt 0.246 -2.251 3.107
Pm -1.212 -2.366 6.080
```

Results
The calculation puts the relative energy among the computed polymorphs at 0.000 eV/atom.


No. 2
A plane-wave DFT calculation with PBE-GGA was carried out for an optimized crystal structure of Ta3CdSi.

```
5
Lattice="4.682 0.000 0.000 0.000 4.682 0.000 0.000 0.000 4.682" Properties=species:S:1:pos:R:3 pbc="T T T"
Cd 2.341 2.341 2.341
Ta 2.341 0.000 0.000
Si 0.000 0.000 0.000
Ta 0.000 2.341 0.000
Ta 0.000 0.000 2.341
```

Results
The calculation puts the relative energy among the computed polymorphs at 0.000 eV/atom. As for the uncorrected formation energy: 17.75 kcal/mol of atoms.


No. 3
A plane-wave DFT calculation with PBE-GGA was carried out for an optimized crystal structure of NaLaZr.

```
6
Lattice="3.442 -0.001 -0.004 1.720 3.000 -0.006 0.039 -0.033 17.863" Properties=species:S:1:pos:R:3 pbc="T T T"
La 0.770 1.108 7.748
La 2.519 0.026 17.670
Na 2.507 1.974 14.335
Na 2.474 0.058 11.090
Zr 0.764 1.099 2.562
Zr 2.486 0.076 4.987
```

Results
The calculation puts the relative energy among the computed polymorphs at 0.021 eV/atom.